This record from Alexandria via LeMat-Bulk describes a geometry-optimized VZn2O4 structure. The functional is PBE+U.

Lattice parameters (Å, degrees): 5.7406 5.7406 5.1087 108.82 108.82 31.67
Last column: nearest neighbours and their distance in Å.
Fractional positions:
V (0.0000, 0.0000, 0.0000)  6 O 1.94-2.01
Zn (0.3387, 0.3387, 0.4009)  4 O 1.89-2.07
Zn (0.6613, 0.6613, 0.5991)  4 O 1.89-2.07
O (0.1441, 0.1441, 0.3447)  1 V 1.94, 3 Zn 2.00-2.07
O (0.4239, 0.4239, 0.1355)  1 Zn 1.89, 2 V 2.01
O (0.5761, 0.5761, 0.8645)  1 Zn 1.89, 2 V 2.01
O (0.8559, 0.8559, 0.6553)  1 V 1.94, 3 Zn 2.00-2.07

* SG: C2/m (12)
* energy above the most stable polymorph in this dataset: 3.76 kJ/mol of atoms
* Fermi-level density of states: 0.0 states/eV/f.u.
* volume: 11.89 A^3/atom